1.
Material: TcS2NF
Method: DFT, PBE
State: optimized geometry

Summary:
Its uncorrected formation energy is 1.665 eV per formula unit. The crystal system is tetragonal. The calculation puts the total moment at 0.07 μB per atom. The total energy comes out at -5.4305 eV/atom.

```
data_TcS2NF
_cell_length_a 4.6350
_cell_length_b 4.6350
_cell_length_c 3.7606
_cell_angle_alpha 90.00
_cell_angle_beta 90.00
_cell_angle_gamma 90.00
_symmetry_space_group_name_H-M 'P 4/m m m'
_symmetry_Int_Tables_number 123
_symmetry_space_group_name_Hall '-P 4 2'
loop_
_atom_site_label
_atom_site_fract_x
_atom_site_fract_y
_atom_site_fract_z
_atom_site_occupancy
Tc1 0.0000 0.0000 0.0000 1
S1 0.0000 0.5000 0.0000 1
N1 0.0000 0.0000 0.5000 1
F1 0.5000 0.5000 0.5000 1
```



2.
Material: TcSNF2
Method: DFT, PBE
State: optimized geometry

Summary:
Its uncorrected formation energy is -0.457 eV per formula unit. The crystal system is tetragonal. The calculation puts the total moment at 0.49 μB per atom. The total energy comes out at -5.4036 eV/atom.

```
data_TcSNF2
_cell_length_a 4.1851
_cell_length_b 4.1851
_cell_length_c 3.8167
_cell_angle_alpha 90.00
_cell_angle_beta 90.00
_cell_angle_gamma 90.00
_symmetry_space_group_name_H-M 'P 4/m m m'
_symmetry_Int_Tables_number 123
_symmetry_space_group_name_Hall '-P 4 2'
loop_
_atom_site_label
_atom_site_fract_x
_atom_site_fract_y
_atom_site_fract_z
_atom_site_occupancy
Tc1 0.0000 0.0000 0.0000 1
S1 0.5000 0.5000 0.5000 1
N1 0.0000 0.0000 0.5000 1
F1 0.0000 0.5000 0.0000 1
```



3.
Material: TcSNF2
Method: DFT, PBE
State: optimized geometry

Summary:
Its uncorrected formation energy is 2.600 eV per formula unit. The crystal system is tetragonal. The calculation puts the total moment at 0.88 μB per atom. The total energy comes out at -4.7922 eV/atom.

```
data_TcSNF2
_cell_length_a 4.6582
_cell_length_b 4.6582
_cell_length_c 3.2769
_cell_angle_alpha 90.00
_cell_angle_beta 90.00
_cell_angle_gamma 90.00
_symmetry_space_group_name_H-M 'P 4/m m m'
_symmetry_Int_Tables_number 123
_symmetry_space_group_name_Hall '-P 4 2'
loop_
_atom_site_label
_atom_site_fract_x
_atom_site_fract_y
_atom_site_fract_z
_atom_site_occupancy
Tc1 0.0000 0.0000 0.0000 1
S1 0.5000 0.5000 0.5000 1
N1 0.5000 0.5000 0.0000 1
F1 0.0000 0.5000 0.5000 1
```



> What is the total moment in the third record?

0.88 μB per atom



> Number 1 is which compound?

TcS2NF



> Number 1 is which compound?

TcS2NF